Entry 1:
DFT (PBE-GGA) results for an optimized crystal structure of UBAs2.

abc: 3.085 3.085 25.761
angles: 90.00 90.00 120.00
Atoms (fractional coordinates):
U (0.000, 0.000, 0.000)
U (0.333, 0.667, 0.667)
U (0.667, 0.333, 0.333)
B (0.000, 0.000, 0.500)
B (0.333, 0.667, 0.167)
B (0.667, 0.333, 0.833)
As (0.000, 0.000, 0.115)
As (0.000, 0.000, 0.885)
As (0.333, 0.667, 0.552)
As (0.333, 0.667, 0.781)
As (0.667, 0.333, 0.219)
As (0.667, 0.333, 0.448)

electronic total energy: -25.20 eV per formula unit
calculated volume: 17.69 A^3/atom
M_tot: 7.639 μB per cell

***

Entry 2:
DFT (PBE-GGA) results for an optimized crystal structure of Sb2TePPb.

abc: 5.860 5.860 5.749
angles: 90.00 90.00 90.00
Atoms (fractional coordinates):
Sb (0.000, 0.500, 0.000)
Sb (0.500, 0.000, 0.000)
Te (0.000, 0.000, 0.500)
P (0.500, 0.500, 0.500)
Pb (0.000, 0.000, 0.000)

formation energy from raw total energies: 1.34 eV/atom
offset from the most stable computed form: 0.9431 eV/atom
calculated volume: 39.48 A^3/atom
M_tot: 0.002 μB per cell

***

Entry 3:
DFT (PBE-GGA) results for an optimized crystal structure of HoCd4Ag.

abc: 5.786 5.786 5.786
angles: 60.00 60.00 60.00
Atoms (fractional coordinates):
Ho (0.000, 0.000, 0.000)
Cd (0.125, 0.625, 0.625)
Cd (0.625, 0.125, 0.625)
Cd (0.625, 0.625, 0.125)
Cd (0.625, 0.625, 0.625)
Ag (0.250, 0.250, 0.250)

offset from the most stable computed form: 0.1248 eV/atom
calculated volume: 22.83 A^3/atom
M_tot: 0.000 μB per cell

***

Entry 4:
DFT (PBE-GGA) results for an optimized crystal structure of Mn2BeIr.

abc: 4.958 7.342 2.641
angles: 90.00 90.00 90.00
Atoms (fractional coordinates):
Mn (0.250, 0.250, 0.000)
Mn (0.250, 0.750, 0.000)
Mn (0.750, 0.250, 0.000)
Mn (0.750, 0.750, 0.000)
Be (0.000, 0.000, 0.500)
Be (0.500, 0.500, 0.500)
Ir (0.000, 0.500, 0.500)
Ir (0.500, 0.000, 0.500)

electronic total energy: -31.23 eV per formula unit
calculated volume: 12.02 A^3/atom
M_tot: 8.640 μB per cell

***

Entry 5:
DFT (PBE-GGA) results for an optimized crystal structure of ZnNiOs2.

abc: 7.400 7.400 4.564
angles: 90.00 90.00 90.00
Atoms (fractional coordinates):
Zn (0.000, 0.000, 0.000)
Zn (0.000, 0.500, 0.250)
Zn (0.500, 0.000, 0.750)
Zn (0.500, 0.500, 0.500)
Ni (0.000, 0.000, 0.500)
Ni (0.000, 0.500, 0.750)
Ni (0.500, 0.000, 0.250)
Ni (0.500, 0.500, 0.000)
Os (0.184, 0.250, 0.625)
Os (0.250, 0.684, 0.875)
Os (0.250, 0.816, 0.375)
Os (0.316, 0.250, 0.125)
Os (0.684, 0.750, 0.125)
Os (0.750, 0.184, 0.375)
Os (0.750, 0.316, 0.875)
Os (0.816, 0.750, 0.625)

electronic total energy: -26.29 eV per formula unit
calculated volume: 15.62 A^3/atom
M_tot: 0.000 μB per cell

***

Entry 6:
DFT (PBE-GGA) results for an optimized crystal structure of Rb2ZrOsPt.

abc: 6.287 6.287 4.836
angles: 90.00 90.00 90.00
Atoms (fractional coordinates):
Rb (0.000, 0.500, 0.000)
Rb (0.500, 0.000, 0.000)
Zr (0.000, 0.000, 0.500)
Os (0.000, 0.000, 0.000)
Pt (0.500, 0.500, 0.500)

electronic total energy: -20.74 eV per formula unit
calculated volume: 38.23 A^3/atom
M_tot: 0.063 μB per cell

***

Entry 7:
DFT (PBE-GGA) results for an optimized crystal structure of CaNiRu.

abc: 10.642 3.965 6.955
angles: 90.00 126.54 90.00
Atoms (fractional coordinates):
Ca (0.000, 0.000, 0.000)
Ca (0.151, 0.000, 0.589)
Ca (0.500, 0.500, 0.000)
Ca (0.651, 0.500, 0.589)
Ni (0.341, 0.000, 0.188)
Ni (0.446, 0.000, 0.619)
Ni (0.841, 0.500, 0.188)
Ni (0.946, 0.500, 0.619)
Ru (0.200, 0.500, 0.970)
Ru (0.317, 0.500, 0.397)
Ru (0.700, 0.000, 0.970)
Ru (0.817, 0.000, 0.397)

offset from the most stable computed form: 0.1764 eV/atom
calculated volume: 19.64 A^3/atom
M_tot: 0.001 μB per cell

***

Entry 8:
DFT (PBE-GGA) results for an optimized crystal structure of Ca2HgOs.

abc: 3.365 3.365 30.519
angles: 90.00 90.00 120.00
Atoms (fractional coordinates):
Ca (0.000, 0.000, 0.000)
Ca (0.000, 0.000, 0.221)
Ca (0.333, 0.667, 0.667)
Ca (0.333, 0.667, 0.888)
Ca (0.667, 0.333, 0.333)
Ca (0.667, 0.333, 0.554)
Hg (0.000, 0.000, 0.474)
Hg (0.333, 0.667, 0.140)
Hg (0.667, 0.333, 0.807)
Os (0.000, 0.000, 0.736)
Os (0.333, 0.667, 0.403)
Os (0.667, 0.333, 0.070)

electronic total energy: -13.17 eV per formula unit
calculated volume: 24.94 A^3/atom
M_tot: 0.052 μB per cell

***

Entry 9:
DFT (PBE-GGA) results for an optimized crystal structure of CeThTeI.

abc: 7.724 7.724 7.724
angles: 90.00 90.00 90.00
Atoms (fractional coordinates):
Ce (0.000, 0.000, 0.000)
Ce (0.000, 0.500, 0.500)
Ce (0.500, 0.000, 0.500)
Ce (0.500, 0.500, 0.000)
Th (0.000, 0.000, 0.500)
Th (0.000, 0.500, 0.000)
Th (0.500, 0.000, 0.000)
Th (0.500, 0.500, 0.500)
Te (0.250, 0.250, 0.250)
Te (0.250, 0.750, 0.750)
Te (0.750, 0.250, 0.750)
Te (0.750, 0.750, 0.250)
I (0.250, 0.250, 0.750)
I (0.250, 0.750, 0.250)
I (0.750, 0.250, 0.250)
I (0.750, 0.750, 0.750)

formation energy from raw total energies: -0.85 eV/atom
calculated volume: 28.80 A^3/atom
M_tot: 4.275 μB per cell

***

Entry 10:
DFT (PBE-GGA) results for an optimized crystal structure of ZnCoW2.

abc: 3.754 3.754 8.078
angles: 90.00 90.00 90.00
Atoms (fractional coordinates):
Zn (0.000, 0.000, 0.000)
Zn (0.500, 0.500, 0.500)
Co (0.000, 0.000, 0.500)
Co (0.500, 0.500, 0.000)
W (0.000, 0.500, 0.250)
W (0.000, 0.500, 0.750)
W (0.500, 0.000, 0.250)
W (0.500, 0.000, 0.750)

electronic total energy: -33.24 eV per formula unit
calculated volume: 14.23 A^3/atom
M_tot: 2.537 μB per cell

***

Entry 11:
DFT (PBE-GGA) results for an optimized crystal structure of TlTeAu.

abc: 3.991 3.991 12.018
angles: 90.00 90.00 90.00
Atoms (fractional coordinates):
Tl (0.000, 0.000, 0.000)
Tl (0.500, 0.500, 0.500)
Te (0.000, 0.000, 0.720)
Te (0.500, 0.500, 0.220)
Au (0.000, 0.000, 0.255)
Au (0.500, 0.500, 0.755)

formation energy from raw total energies: -0.02 eV/atom
calculated volume: 31.90 A^3/atom
M_tot: 0.000 μB per cell

***

Entry 12:
DFT (PBE-GGA) results for an optimized crystal structure of TlAsS3.

abc: 4.858 4.858 4.858
angles: 90.00 90.00 90.00
Atoms (fractional coordinates):
Tl (0.000, 0.000, 0.000)
As (0.500, 0.500, 0.500)
S (0.000, 0.500, 0.500)
S (0.500, 0.000, 0.500)
S (0.500, 0.500, 0.000)

formation energy from raw total energies: 0.22 eV/atom
calculated volume: 22.92 A^3/atom
M_tot: 0.000 μB per cell

***

Entry 13:
DFT (PBE-GGA) results for an optimized crystal structure of GaNi2N.

abc: 4.645 4.645 10.148
angles: 90.00 90.00 90.00
Atoms (fractional coordinates):
Ga (0.000, 0.000, 0.000)
Ga (0.000, 0.500, 0.250)
Ga (0.500, 0.000, 0.750)
Ga (0.500, 0.500, 0.500)
Ni (0.123, 0.250, 0.625)
Ni (0.250, 0.623, 0.875)
Ni (0.250, 0.877, 0.375)
Ni (0.377, 0.250, 0.125)
Ni (0.623, 0.750, 0.125)
Ni (0.750, 0.123, 0.375)
Ni (0.750, 0.377, 0.875)
Ni (0.877, 0.750, 0.625)
N (0.000, 0.000, 0.500)
N (0.000, 0.500, 0.750)
N (0.500, 0.000, 0.250)
N (0.500, 0.500, 0.000)

formation energy from raw total energies: 0.14 eV/atom
offset from the most stable computed form: 0.0000 eV/atom
calculated volume: 13.68 A^3/atom
M_tot: 0.000 μB per cell

***

Entry 14:
DFT (PBE-GGA) results for an optimized crystal structure of Hg12As3I5.

abc: 15.564 15.564 15.564
angles: 109.47 109.47 109.47
Atoms (fractional coordinates):
Hg (0.052, 0.633, 0.380)
Hg (0.052, 0.920, 0.673)
Hg (0.080, 0.253, 0.133)
Hg (0.080, 0.327, 0.948)
Hg (0.120, 0.753, 0.673)
Hg (0.120, 0.867, 0.448)
Hg (0.133, 0.080, 0.253)
Hg (0.133, 0.552, 0.880)
Hg (0.173, 0.253, 0.620)
Hg (0.173, 0.420, 0.552)
Hg (0.247, 0.327, 0.880)
Hg (0.247, 0.420, 0.367)
Hg (0.253, 0.133, 0.080)
Hg (0.253, 0.620, 0.173)
Hg (0.327, 0.880, 0.247)
Hg (0.327, 0.948, 0.080)
Hg (0.367, 0.247, 0.420)
Hg (0.367, 0.620, 0.948)
Hg (0.380, 0.052, 0.633)
Hg (0.380, 0.827, 0.747)
Hg (0.420, 0.367, 0.247)
Hg (0.420, 0.552, 0.173)
Hg (0.448, 0.120, 0.867)
Hg (0.448, 0.827, 0.580)
Hg (0.552, 0.173, 0.420)
Hg (0.552, 0.880, 0.133)
Hg (0.580, 0.448, 0.827)
Hg (0.580, 0.633, 0.753)
Hg (0.620, 0.173, 0.253)
Hg (0.620, 0.948, 0.367)
Hg (0.633, 0.380, 0.052)
Hg (0.633, 0.753, 0.580)
Hg (0.673, 0.052, 0.920)
Hg (0.673, 0.120, 0.753)
Hg (0.747, 0.380, 0.827)
Hg (0.747, 0.867, 0.920)
Hg (0.753, 0.580, 0.633)
Hg (0.753, 0.673, 0.120)
Hg (0.827, 0.580, 0.448)
Hg (0.827, 0.747, 0.380)
Hg (0.867, 0.448, 0.120)
Hg (0.867, 0.920, 0.747)
Hg (0.880, 0.133, 0.552)
Hg (0.880, 0.247, 0.327)
Hg (0.920, 0.673, 0.052)
Hg (0.920, 0.747, 0.867)
Hg (0.948, 0.080, 0.327)
Hg (0.948, 0.367, 0.620)
As (0.125, 0.250, 0.375)
As (0.125, 0.375, 0.750)
As (0.250, 0.375, 0.125)
As (0.250, 0.875, 0.625)
As (0.375, 0.125, 0.250)
As (0.375, 0.750, 0.125)
As (0.625, 0.250, 0.875)
As (0.625, 0.875, 0.750)
As (0.750, 0.125, 0.375)
As (0.750, 0.625, 0.875)
As (0.875, 0.625, 0.250)
As (0.875, 0.750, 0.625)
I (0.000, 0.000, 0.000)
I (0.000, 0.000, 0.500)
I (0.000, 0.500, 0.000)
I (0.000, 0.500, 0.500)
I (0.125, 0.750, 0.875)
I (0.125, 0.875, 0.250)
I (0.250, 0.125, 0.875)
I (0.250, 0.625, 0.375)
I (0.375, 0.250, 0.625)
I (0.375, 0.625, 0.750)
I (0.500, 0.000, 0.000)
I (0.500, 0.000, 0.500)
I (0.500, 0.500, 0.000)
I (0.500, 0.500, 0.500)
I (0.625, 0.375, 0.250)
I (0.625, 0.750, 0.375)
I (0.750, 0.375, 0.625)
I (0.750, 0.875, 0.125)
I (0.875, 0.125, 0.750)
I (0.875, 0.250, 0.125)

formation energy from raw total energies: 0.09 eV/atom
calculated volume: 36.28 A^3/atom
M_tot: 0.000 μB per cell

***

Entry 15:
DFT (PBE-GGA) results for an optimized crystal structure of BaNaRu2N.

abc: 4.112 4.112 5.378
angles: 90.00 90.00 90.00
Atoms (fractional coordinates):
Ba (0.000, 0.000, 0.000)
Na (0.500, 0.500, 0.000)
Ru (0.000, 0.500, 0.500)
Ru (0.500, 0.000, 0.500)
N (0.000, 0.000, 0.500)

formation energy from raw total energies: 0.37 eV/atom
calculated volume: 18.19 A^3/atom
M_tot: 0.002 μB per cell

***

Entry 16:
DFT (PBE-GGA) results for an optimized crystal structure of La2YCd3.

abc: 3.824 3.824 11.923
angles: 90.00 90.00 90.00
Atoms (fractional coordinates):
La (0.000, 0.000, 0.173)
La (0.000, 0.000, 0.827)
Y (0.000, 0.000, 0.500)
Cd (0.500, 0.500, 0.000)
Cd (0.500, 0.500, 0.351)
Cd (0.500, 0.500, 0.649)

electronic total energy: -21.04 eV per formula unit
calculated volume: 29.06 A^3/atom
M_tot: 0.881 μB per cell

***

Entry 17:
DFT (PBE-GGA) results for an optimized crystal structure of GaRhO2F.

abc: 3.904 3.904 3.799
angles: 90.00 90.00 90.00
Atoms (fractional coordinates):
Ga (0.000, 0.000, 0.000)
Rh (0.500, 0.500, 0.500)
O (0.000, 0.500, 0.000)
O (0.500, 0.000, 0.000)
F (0.000, 0.000, 0.500)

formation energy from raw total energies: -0.73 eV/atom
calculated volume: 11.58 A^3/atom
M_tot: 3.026 μB per cell

***

Entry 18:
DFT (PBE-GGA) results for an optimized crystal structure of Na2PuGaO6.

abc: 5.539 5.600 9.615
angles: 90.00 125.02 90.00
Atoms (fractional coordinates):
Na (0.243, 0.029, 0.249)
Na (0.243, 0.471, 0.749)
Na (0.757, 0.529, 0.251)
Na (0.757, 0.971, 0.751)
Pu (0.500, 0.000, 0.000)
Pu (0.500, 0.500, 0.500)
Ga (0.000, 0.000, 0.500)
Ga (0.000, 0.500, 0.000)
O (0.174, 0.215, 0.963)
O (0.174, 0.285, 0.463)
O (0.249, 0.713, 0.961)
O (0.249, 0.787, 0.461)
O (0.324, 0.016, 0.749)
O (0.324, 0.484, 0.249)
O (0.676, 0.516, 0.751)
O (0.676, 0.984, 0.251)
O (0.751, 0.213, 0.539)
O (0.751, 0.287, 0.039)
O (0.826, 0.715, 0.537)
O (0.826, 0.785, 0.037)

formation energy from raw total energies: -2.04 eV/atom
calculated volume: 12.21 A^3/atom
M_tot: 1.997 μB per cell